(1)
Ga12Se3S5 (PBE, optimized geometry); mass density = 4.0 g/cm³; E = -3.466 eV per atom; D(E_F) = 0.409 states/eV per atom; total magnetic moment = 0.000 μB/atom; formation energy (no corrections) = -9.24 kJ per mole of atoms
1.0
13.9164 0.0000 0.0000
-4.6388 13.1206 0.0000
-4.6388 -6.5603 11.3627
Ga S Se
48 20 12
Cartesian
-1.3545 -3.7204 8.1919
8.3127 -4.6062 9.7262
5.3755 5.7973 8.8522
5.0225 1.6108 10.3207
-1.5827 -0.7245 5.0869
7.6949 -0.7630 2.5105
1.5827 5.0728 7.5974
6.5745 6.4633 1.9160
3.9021 -1.4875 3.7653
1.3545 0.8859 6.5554
9.4331 -3.0218 7.3179
5.9933 1.9541 1.6365
2.1639 8.5524 4.6393
-0.9649 7.4461 4.8074
7.1137 3.5385 4.0449
-1.3545 4.6062 9.7262
0.1555 4.5682 4.6393
5.6037 -0.8859 6.5554
-3.9021 5.8358 6.2759
2.7031 8.1711 1.0420
-5.6037 3.7204 8.1919
-4.7943 9.5820 4.0449
1.9357 -1.6108 10.3207
1.9357 1.7078 10.4887
-3.6739 11.1665 1.6365
5.0225 -1.7078 10.4887
-2.4749 -5.0138 10.7682
2.7031 4.8524 0.8740
8.5409 0.7245 5.0869
2.4749 -1.9921 6.7234
-5.0225 -0.0970 9.4467
3.2843 5.6744 4.8074
-3.0561 7.3233 8.8522
9.1222 1.5464 0.5945
6.2215 7.2847 6.2759
-0.3837 4.9494 1.0420
-0.3837 8.2681 0.8740
-0.7367 0.7630 2.5105
4.4834 1.9921 6.7234
-1.9357 0.0970 9.4467
3.0561 1.4875 3.7653
-4.4834 5.0138 10.7682
0.7367 8.0477 7.5974
9.6613 6.6573 1.9160
7.1137 11.5741 0.5945
10.2426 2.8399 3.1708
-2.4749 3.0218 7.3179
5.9933 10.2806 3.1708
5.7985 -4.1002 9.9424
1.1597 4.1002 9.9424
3.4791 2.4601 1.4203
-1.1597 3.2801 2.8407
5.7985 5.7402 4.2610
-4.6388 3.2801 5.6814
-1.1597 0.8200 7.1017
3.4791 9.8404 2.8407
6.9582 0.0000 0.0000
-2.3194 -3.2801 5.6814
-3.4791 7.3803 4.2610
2.3194 3.2801 5.6814
4.6388 -3.2801 5.6814
-2.3194 6.5603 0.0000
1.1597 -3.2801 8.5220
4.6388 6.5603 0.0000
-1.1597 10.6604 1.4203
0.0000 0.0000 0.0000
5.7985 3.2801 8.5220
8.1179 -0.8200 7.1017
3.4791 7.3803 7.1017
3.4791 0.0000 8.5220
8.1179 9.0204 1.4203
8.1179 4.1002 1.4203
-3.4791 -2.4601 9.9424
-5.7985 6.5603 8.5220
1.1597 6.5603 2.8407
10.4373 0.0000 2.8407
5.7985 0.8200 4.2610
-3.4791 2.4601 9.9424
1.1597 -0.8200 4.2610
-1.1597 5.7402 7.1017


(2)
CrBr2Cl (PBE, optimized geometry); mass density = 3.0 g/cm³; E = -4.071 eV per atom; relative energy among the computed polymorphs = 0.403 eV per atom; D(E_F) = 1.284 states/eV per atom; total magnetic moment = 1.019 μB/atom; formation energy (no corrections) = -35.45 kJ per mole of atoms
1.0
-0.4730 -0.7645 4.1390
-1.4475 -1.8594 -3.5194
8.5190 -6.2790 -0.1863
Cr Br Cl
1 2 1
Cartesian
5.3751 -5.9815 0.1712
1.1797 -2.8892 0.2630
7.7907 -5.7422 -0.1703
5.0315 -3.7085 -0.1100


(3)
TaPd4Pt (PBE, optimized geometry); mass density = 14.2 g/cm³; formation energy = -367 meV per atom; E = -6.811 eV per atom; relative energy among the computed polymorphs = 0.000 eV per atom; D(E_F) = 0.734 states/eV per atom; total magnetic moment = 0.000 μB/atom
1.0
4.7768 0.1228 0.7418
1.2260 4.1118 2.3512
0.0901 0.1013 4.8663
Pt Pd Ta
1 4 1
Cartesian
0.0000 0.0000 0.0000
0.4413 1.4139 2.3878
2.6517 0.8102 4.0145
3.4411 3.5256 3.9448
0.8748 2.7991 4.8298
3.0014 2.1173 1.5465


(4)
GdTiC2 (PBE, optimized geometry); mass density = 7.2 g/cm³; formation energy = -210 meV per atom; E = -10.315 eV per atom; D(E_F) = 0.581 states/eV per atom; total magnetic moment = 1.687 μB/atom
1.0
3.3122 0.0000 0.0000
1.6561 2.8684 0.0000
1.6561 0.9561 5.5511
Ti C Gd
1 2 1
Cartesian
0.0000 0.0000 0.0000
1.6561 0.9561 1.1643
4.9683 2.8684 4.3868
3.3122 1.9123 2.7755


(5)
ZnCr2BH (PBE, optimized geometry); mass density = 5.0 g/cm³; E = -5.079 eV per atom; D(E_F) = 1.434 states/eV per atom; total magnetic moment = 0.000 μB/atom
1.0
-1.0011 -3.7669 -0.1083
2.9510 -0.7123 -2.5025
2.3764 -0.7181 3.0068
Cr B H Zn
2 1 1 1
Cartesian
1.1882 -0.3590 1.5034
-0.5006 -1.8834 -0.0542
0.0000 0.0000 0.0000
2.1632 -2.5986 0.1980
1.4755 -0.3562 -1.2512


(6)
BaY2Au (PBE, optimized geometry); mass density = 6.8 g/cm³; formation energy = 103 meV per atom; E = -4.429 eV per atom; relative energy among the computed polymorphs = 0.405 eV per atom; D(E_F) = 1.396 states/eV per atom; total magnetic moment = 0.000 μB/atom
1.0
5.6184 0.0000 0.0000
2.8092 4.8657 0.0000
2.8092 1.6219 4.5874
Y Ba Au
2 1 1
Cartesian
0.0000 0.0000 0.0000
2.8092 1.6219 1.1469
8.4276 4.8657 3.4406
5.6184 3.2438 2.2937


Repeat the second record exactly.
CrBr2Cl (PBE, optimized geometry); mass density = 3.0 g/cm³; E = -4.071 eV per atom; relative energy among the computed polymorphs = 0.403 eV per atom; D(E_F) = 1.284 states/eV per atom; total magnetic moment = 1.019 μB/atom; formation energy (no corrections) = -35.45 kJ per mole of atoms
1.0
-0.4730 -0.7645 4.1390
-1.4475 -1.8594 -3.5194
8.5190 -6.2790 -0.1863
Cr Br Cl
1 2 1
Cartesian
5.3751 -5.9815 0.1712
1.1797 -2.8892 0.2630
7.7907 -5.7422 -0.1703
5.0315 -3.7085 -0.1100